1.
Here is Th8As6Se after structural relaxation from Alexandria via LeMat-Bulk. Energies are from PBE.

The space group is P-3 (No. 147) and the conventional cell measures 10.7393, 10.7393 and 4.3048 Å, with angles of 90.00, 90.00 and 120.00 degrees. Symmetry generates all atoms from Th at (0.0393, 0.3280, 0.2395), Th at (0.3333, 0.6667, 0.7549), As at (0.1275, 0.6428, 0.2559) and Se at (0.0000, 0.0000, 0.0000).

As for the density: 9.21 Mg/m³. The raw total energy comes out at -6.993 eV per atom. The magnetization comes out at 0.00 μB/f.u. Its density of states at the Fermi level is 12.74 states/eV/f.u. As for the uncorrected formation energy: -944 meV/atom.

***

2.
Here is Th4AsSe4 after structural relaxation from Alexandria via LeMat-Bulk. Energies are from PBE.

The space group is C2/m (No. 12) and the conventional cell measures 13.836, 4.212 and 10.464 Å, with angles of 90.00, 120.68 and 90.00 degrees. Symmetry generates all atoms from Th at (0.101, 0.000, 0.407), Th at (0.202, 0.500, 0.792), As at (0.000, 0.500, 0.500), Se at (0.105, 0.000, 0.897) and Se at (0.184, 0.500, 0.283).

As for the density: 8.35 Mg/m³. The raw total energy comes out at -6.964 eV per atom. The magnetization comes out at 0.00 μB/f.u. As for the energy above the most stable polymorph in this dataset: 0.0 meV per atom. Its density of states at the Fermi level is 4.58 states/eV/f.u. As for the uncorrected formation energy: -1601 meV/atom.

***

3.
Here is ThAsSe after structural relaxation from Alexandria via LeMat-Bulk. Energies are from PBE.

The space group is I4mm (No. 107) and the conventional cell measures 3.953, 3.953 and 9.302 Å, with angles of 90.00, 90.00 and 90.00 degrees. Symmetry generates all atoms from Th at (0.000, 0.000, 0.000), As at (0.000, 0.000, 0.641) and Se at (0.000, 0.000, 0.347).

As for the density: 8.82 Mg/m³. The raw total energy comes out at -6.281 eV per atom. The magnetization comes out at 0.00 μB/f.u. Its density of states at the Fermi level is 2.06 states/eV/f.u. As for the uncorrected formation energy: -1096 meV/atom.

***

4.
Here is ThAsSe after structural relaxation from Alexandria via LeMat-Bulk. Energies are from PBE.

The space group is I4/mmm (No. 139) and the conventional cell measures 4.141, 4.141 and 17.009 Å, with angles of 90.00, 90.00 and 90.00 degrees. Symmetry generates all atoms from Th at (0.000, 0.000, 0.131), As at (0.000, 0.500, 0.000) and Se at (0.000, 0.000, 0.314).

As for the density: 8.79 Mg/m³. The raw total energy comes out at -6.624 eV per atom. The magnetization comes out at 0.00 μB/f.u. Its density of states at the Fermi level is 0.68 states/eV/f.u. As for the uncorrected formation energy: -1439 meV/atom.

***

Repeat the first record exactly.
Here is Th8As6Se after structural relaxation from Alexandria via LeMat-Bulk. Energies are from PBE.

The space group is P-3 (No. 147) and the conventional cell measures 10.7393, 10.7393 and 4.3048 Å, with angles of 90.00, 90.00 and 120.00 degrees. Symmetry generates all atoms from Th at (0.0393, 0.3280, 0.2395), Th at (0.3333, 0.6667, 0.7549), As at (0.1275, 0.6428, 0.2559) and Se at (0.0000, 0.0000, 0.0000).

As for the density: 9.21 Mg/m³. The raw total energy comes out at -6.993 eV per atom. The magnetization comes out at 0.00 μB/f.u. Its density of states at the Fermi level is 12.74 states/eV/f.u. As for the uncorrected formation energy: -944 meV/atom.